1.
! PBE Ca4CoTc, optimized geometry; values from VASP
! - space group = F-43m
! - total magnetization (Bohr magnetons per cell) = 3.0
! - uncorrected energy (eV/atom) = -2.9533
! - DOS at the Fermi energy (states/eV per cell) = 11.7
&SYSTEM
  ibrav = 0, nat = 6, ntyp = 3
/
ATOMIC_SPECIES
Ca 40.08 Ca.upf
Co 58.93 Co.upf
Tc 98.00 Tc.upf
CELL_PARAMETERS angstrom
0.000 4.348 4.348
4.348 0.000 4.348
4.348 4.348 0.000
ATOMIC_POSITIONS crystal
Ca 0.125 0.125 0.125
Ca 0.125 0.125 0.624
Ca 0.125 0.624 0.125
Ca 0.624 0.125 0.125
Co 0.750 0.750 0.750
Tc 0.500 0.500 0.500

***

2.
! PBE CaCoTc, optimized geometry; values from VASP
! - space group = P6_3/mmc
! - total magnetization (Bohr magnetons per cell) = 0.0
! - DOS at the Fermi energy (states/eV per cell) = 5.4
! - offset from the most stable computed form (meV/atom) = 219
&SYSTEM
  ibrav = 0, nat = 6, ntyp = 3
/
ATOMIC_SPECIES
Ca 40.08 Ca.upf
Co 58.93 Co.upf
Tc 98.00 Tc.upf
CELL_PARAMETERS angstrom
3.886 0.000 0.000
-1.943 3.366 0.000
0.000 0.000 9.444
ATOMIC_POSITIONS crystal
Ca 0.000 0.000 0.000
Ca 0.000 0.000 0.500
Co 0.333 0.667 0.250
Co 0.667 0.333 0.750
Tc 0.333 0.667 0.750
Tc 0.667 0.333 0.250

***

Which value of total magnetization does entry 2 give?
0.0 Bohr magnetons per cell

***

What is the total magnetization in the first record?
3.0 Bohr magnetons per cell

***

Copy entry 1 word for word.
! PBE Ca4CoTc, optimized geometry; values from VASP
! - space group = F-43m
! - total magnetization (Bohr magnetons per cell) = 3.0
! - uncorrected energy (eV/atom) = -2.9533
! - DOS at the Fermi energy (states/eV per cell) = 11.7
&SYSTEM
  ibrav = 0, nat = 6, ntyp = 3
/
ATOMIC_SPECIES
Ca 40.08 Ca.upf
Co 58.93 Co.upf
Tc 98.00 Tc.upf
CELL_PARAMETERS angstrom
0.000 4.348 4.348
4.348 0.000 4.348
4.348 4.348 0.000
ATOMIC_POSITIONS crystal
Ca 0.125 0.125 0.125
Ca 0.125 0.125 0.624
Ca 0.125 0.624 0.125
Ca 0.624 0.125 0.125
Co 0.750 0.750 0.750
Tc 0.500 0.500 0.500